# SmYAlHg

A geometry-optimized SmYAlHg structure (GGA-PBE, the Alexandria database).

For the uncorrected energy, the calculation gives -4.252 eV per atom. The energy above the lowest structure with this stoichiometry is 0 meV per atom. For the energy of formation, the calculation gives -0.44 eV per atom. As for the theoretical density: 7.631 g/cm³.

Lattice parameters (Å, degrees): 3.6190 3.6190 7.7560 90.00 90.00 90.00
Space group P4mm (No. 99)
Asymmetric unit:
Sm  0.0000  0.0000  0.0000 [1 per cell]
Y  0.0000  0.0000  0.5207 [1 per cell]
Al  0.5000  0.5000  0.7554 [1 per cell]
Hg  0.5000  0.5000  0.2726 [1 per cell]